(1)
# Ca2AcIn2 PBE-GGA relaxed
# **Crystal system**: trigonal
# **Energy relative to the lowest polymorph listed for this composition**: 21 meV per atom
# **Space group**: P-3m1, No. 164
# **ΔE_f**: -1.4 eV per formula unit
data_Ca2AcIn2
_chemical_formula_sum 'Ca2 Ac1 In2'
_space_group_name_H-M_alt 'P 1'
_space_group_IT_number 1
_space_group_name_Hall 'P 1'
_cell_length_a 5.5677
_cell_length_b 5.5677
_cell_length_c 6.7730
_cell_angle_alpha 90.00
_cell_angle_beta 90.00
_cell_angle_gamma 120.00
loop_
_atom_site_label
_atom_site_type_symbol
_atom_site_fract_x
_atom_site_fract_y
_atom_site_fract_z
_atom_site_occupancy
Ca1 Ca 0.3333 0.6667 0.1589 1
Ca2 Ca 0.6667 0.3333 0.8411 1
Ac1 Ac 0.0000 0.0000 0.5000 1
In1 In 0.3333 0.6667 0.6762 1
In2 In 0.6667 0.3333 0.3238 1

=====

(2)
# P3PdBr PBE-GGA relaxed
# **Crystal system**: cubic
# **Energy relative to the lowest polymorph listed for this composition**: 0 meV per atom
# **Space group**: Pm-3m, No. 221
# **Raw formation energy**: 89 kJ/mol of atoms
data_P3PdBr
_chemical_formula_sum 'P3 Pd1 Br1'
_space_group_name_H-M_alt 'P 1'
_space_group_IT_number 1
_space_group_name_Hall 'P 1'
_cell_length_a 4.7535
_cell_length_b 4.7535
_cell_length_c 4.7535
_cell_angle_alpha 90.00
_cell_angle_beta 90.00
_cell_angle_gamma 90.00
loop_
_atom_site_label
_atom_site_type_symbol
_atom_site_fract_x
_atom_site_fract_y
_atom_site_fract_z
_atom_site_occupancy
P1 P 0.0000 0.0000 0.5000 1
P2 P 0.0000 0.5000 0.0000 1
P3 P 0.5000 0.0000 0.0000 1
Pd1 Pd 0.0000 0.0000 0.0000 1
Br1 Br 0.5000 0.5000 0.5000 1

=====

(3)
# Pm8Co3CuI4 PBE-GGA relaxed
# **Crystal system**: monoclinic
# **Space group**: C2/m, No. 12
# **Raw formation energy**: -55 kJ/mol of atoms
data_Pm8Co3CuI4
_chemical_formula_sum 'Pm8 Co3 Cu1 I4'
_space_group_name_H-M_alt 'P 1'
_space_group_IT_number 1
_space_group_name_Hall 'P 1'
_cell_length_a 8.1791
_cell_length_b 8.1791
_cell_length_c 9.3203
_cell_angle_alpha 115.99
_cell_angle_beta 115.99
_cell_angle_gamma 60.06
loop_
_atom_site_label
_atom_site_type_symbol
_atom_site_fract_x
_atom_site_fract_y
_atom_site_fract_z
_atom_site_occupancy
Pm1 Pm 0.2130 0.7339 0.6822 1
Pm2 Pm 0.2273 0.2273 0.6832 1
Pm3 Pm 0.2657 0.2657 0.3174 1
Pm4 Pm 0.2661 0.7870 0.3178 1
Pm5 Pm 0.7339 0.2130 0.6822 1
Pm6 Pm 0.7343 0.7343 0.6826 1
Pm7 Pm 0.7727 0.7727 0.3168 1
Pm8 Pm 0.7870 0.2661 0.3178 1
Co1 Co 0.0000 0.0000 0.5000 1
Co2 Co 0.0000 0.5000 0.5000 1
Co3 Co 0.5000 0.0000 0.5000 1
Cu1 Cu 0.5000 0.5000 0.5000 1
I1 I 0.0000 0.0000 0.0000 1
I2 I 0.0000 0.5000 0.0000 1
I3 I 0.5000 0.0000 0.0000 1
I4 I 0.5000 0.5000 0.0000 1

=====

(4)
# K4Tb3TiS8 PBE-GGA relaxed
# **Crystal system**: trigonal
# **Space group**: R-3m, No. 166
# **Raw formation energy**: -165 kJ/mol of atoms
data_K4Tb3TiS8
_chemical_formula_sum 'K4 Tb3 Ti1 S8'
_space_group_name_H-M_alt 'P 1'
_space_group_IT_number 1
_space_group_name_Hall 'P 1'
_cell_length_a 8.6711
_cell_length_b 8.6711
_cell_length_c 8.6711
_cell_angle_alpha 54.64
_cell_angle_beta 54.64
_cell_angle_gamma 54.64
loop_
_atom_site_label
_atom_site_type_symbol
_atom_site_fract_x
_atom_site_fract_y
_atom_site_fract_z
_atom_site_occupancy
K1 K 0.0000 0.0000 0.0000 1
K2 K 0.0000 0.5000 0.5000 1
K3 K 0.5000 0.0000 0.5000 1
K4 K 0.5000 0.5000 0.0000 1
Tb1 Tb 0.0000 0.0000 0.5000 1
Tb2 Tb 0.0000 0.5000 0.0000 1
Tb3 Tb 0.5000 0.0000 0.0000 1
Ti1 Ti 0.5000 0.5000 0.5000 1
S1 S 0.2353 0.2353 0.2353 1
S2 S 0.2512 0.7225 0.7225 1
S3 S 0.2775 0.2775 0.7488 1
S4 S 0.2775 0.7488 0.2775 1
S5 S 0.7225 0.2512 0.7225 1
S6 S 0.7225 0.7225 0.2512 1
S7 S 0.7488 0.2775 0.2775 1
S8 S 0.7647 0.7647 0.7647 1

=====

(5)
# YErNi4 PBE-GGA relaxed
# **Crystal system**: cubic
# **Space group**: F-43m, No. 216
# **ΔE_f**: -2.7 eV per formula unit
data_YErNi4
_chemical_formula_sum 'Y1 Er1 Ni4'
_space_group_name_H-M_alt 'P 1'
_space_group_IT_number 1
_space_group_name_Hall 'P 1'
_cell_length_a 5.0605
_cell_length_b 5.0605
_cell_length_c 5.0605
_cell_angle_alpha 60.00
_cell_angle_beta 60.00
_cell_angle_gamma 60.00
loop_
_atom_site_label
_atom_site_type_symbol
_atom_site_fract_x
_atom_site_fract_y
_atom_site_fract_z
_atom_site_occupancy
Y1 Y 0.0000 0.0000 0.0000 1
Er1 Er 0.7500 0.7500 0.7500 1
Ni1 Ni 0.3754 0.3754 0.3754 1
Ni2 Ni 0.3754 0.3754 0.8739 1
Ni3 Ni 0.3754 0.8739 0.3754 1
Ni4 Ni 0.8739 0.3754 0.3754 1

=====

(6)
# RbNbAsClO5 PBE-GGA relaxed
# **Crystal system**: tetragonal
# **Space group**: P4/nmm, No. 129
# **Raw formation energy**: -181 kJ/mol of atoms
data_RbNbAsClO5
_chemical_formula_sum 'Rb2 Nb2 As2 Cl2 O10'
_space_group_name_H-M_alt 'P 1'
_space_group_IT_number 1
_space_group_name_Hall 'P 1'
_cell_length_a 6.7857
_cell_length_b 6.7857
_cell_length_c 7.8819
_cell_angle_alpha 90.00
_cell_angle_beta 90.00
_cell_angle_gamma 90.00
loop_
_atom_site_label
_atom_site_type_symbol
_atom_site_fract_x
_atom_site_fract_y
_atom_site_fract_z
_atom_site_occupancy
Rb1 Rb 0.2500 0.7500 0.0000 1
Rb2 Rb 0.7500 0.2500 0.0000 1
Nb1 Nb 0.2500 0.2500 0.3986 1
Nb2 Nb 0.7500 0.7500 0.6014 1
As1 As 0.2500 0.7500 0.5000 1
As2 As 0.7500 0.2500 0.5000 1
Cl1 Cl 0.2500 0.2500 0.0579 1
Cl2 Cl 0.7500 0.7500 0.9421 1
O1 O 0.0522 0.7500 0.6362 1
O2 O 0.2500 0.2500 0.6201 1
O3 O 0.2500 0.5522 0.3638 1
O4 O 0.2500 0.9478 0.3638 1
O5 O 0.4478 0.7500 0.6362 1
O6 O 0.5522 0.2500 0.3638 1
O7 O 0.7500 0.0522 0.6362 1
O8 O 0.7500 0.4478 0.6362 1
O9 O 0.7500 0.7500 0.3799 1
O10 O 0.9478 0.2500 0.3638 1